1.
# Li3LaRh GGA-PBE optimized geometry
data_Li3LaRh
_space_group_name_H-M_alt 'P m -3 m'
_space_group_IT_number 221
_space_group_name_Hall '-P 4 2 3'
_cell_length_a 4.7212
_cell_length_b 4.7212
_cell_length_c 4.7212
_cell_angle_alpha 90.00
_cell_angle_beta 90.00
_cell_angle_gamma 90.00
loop_
_atom_site_label
_atom_site_fract_x
_atom_site_fract_y
_atom_site_fract_z
Li1 0.0000 0.0000 0.5000
La1 0.5000 0.5000 0.5000
Rh1 0.0000 0.0000 0.0000
# E_tot: -3.49 eV/atom
# density of states at the Fermi level: 0.818 states/eV/atom

2.
# AsOs2Cl GGA-PBE optimized geometry
data_AsOs2Cl
_space_group_name_H-M_alt 'C 1 m 1'
_space_group_IT_number 8
_space_group_name_Hall 'C -2y'
_cell_length_a 7.5986
_cell_length_b 2.9827
_cell_length_c 6.6722
_cell_angle_alpha 90.00
_cell_angle_beta 93.95
_cell_angle_gamma 90.00
loop_
_atom_site_label
_atom_site_fract_x
_atom_site_fract_y
_atom_site_fract_z
As1 0.0000 0.0000 0.0000
Os1 0.2247 0.5000 0.1664
Os2 0.2735 0.0000 0.8228
Cl1 0.2825 0.5000 0.5166
# raw formation energy: 2.32 eV/f.u.
# density of states at the Fermi level: 0.519 states/eV/atom

3.
# NaHoCdHg GGA-PBE optimized geometry
data_NaHoCdHg
_space_group_name_H-M_alt 'F -4 3 m'
_space_group_IT_number 216
_space_group_name_Hall 'F -4 2 3'
_cell_length_a 7.3234
_cell_length_b 7.3234
_cell_length_c 7.3234
_cell_angle_alpha 90.00
_cell_angle_beta 90.00
_cell_angle_gamma 90.00
loop_
_atom_site_label
_atom_site_fract_x
_atom_site_fract_y
_atom_site_fract_z
Na1 0.0000 0.0000 0.0000
Ho1 0.0000 0.0000 0.5000
Cd1 0.2500 0.2500 0.7500
Hg1 0.2500 0.2500 0.2500
# E_tot: -2.00 eV/atom
# density of states at the Fermi level: 0.635 states/eV/atom

4.
# Cd5NiAg4 GGA-PBE optimized geometry
data_Cd5NiAg4
_space_group_name_H-M_alt 'P 4/m m m'
_space_group_IT_number 123
_space_group_name_Hall '-P 4 2'
_cell_length_a 3.0541
_cell_length_b 3.0541
_cell_length_c 20.0629
_cell_angle_alpha 90.00
_cell_angle_beta 90.00
_cell_angle_gamma 90.00
loop_
_atom_site_label
_atom_site_fract_x
_atom_site_fract_y
_atom_site_fract_z
Cd1 0.0000 0.0000 0.0000
Cd2 0.0000 0.0000 0.2087
Cd3 0.0000 0.0000 0.4169
Ni1 0.5000 0.5000 0.5000
Ag1 0.5000 0.5000 0.1044
Ag2 0.5000 0.5000 0.3125
# E_tot: -2.20 eV/atom
# density of states at the Fermi level: 0.453 states/eV/atom

Calculated magnetic moment (μB/f.u.), listed in the same order as above: 0.82 0.00 0.00 0.01